<A>
## Pm2Nd3Dy4 (PBE-GGA)

Data for an optimized crystal structure of Pm2Nd3Dy4.

## Properties
calculated density = 7.62 g cm⁻³
V = 598.19 Å³/cell

Cell and atoms, written as extended XYZ:
```
18
Lattice="5.8222 1.6420 1.1756 2.1978 11.1581 0.7798 2.1978 4.3335 10.3117" Properties=species:S:1:pos:R:3 pbc="T T T"
Pm 4.1253 5.6120 6.0164
Pm 3.1813 8.8088 8.3052
Pm 6.0924 11.5215 6.2508
Pm 7.0364 8.3248 3.9620
Nd 5.1722 3.1261 3.6844
Nd 7.9567 13.4593 11.0827
Nd 5.0456 14.0074 8.5827
Nd 2.2611 3.6742 1.1844
Nd 3.6533 8.8459 4.8765
Nd 6.5644 8.2877 7.3906
Dy 4.8708 11.6485 3.1132
Dy 2.4358 9.6120 1.6552
Dy 5.3469 5.4850 9.1539
Dy 7.7819 7.5215 10.6120
Dy 1.7348 3.5811 4.5431
Dy 5.5719 10.8578 9.7531
Dy 8.4830 13.5525 7.7240
Dy 4.6459 6.2757 2.5140
```



<B>
## Pm2Nd3Dy4 (PBE-GGA)

Data for an optimized crystal structure of Pm2Nd3Dy4.

## Properties
calculated density = 7.60 g cm⁻³
V = 299.90 Å³/cell

Cell and atoms, written as extended XYZ:
```
9
Lattice="-2.1039 -2.0194 5.5422 -5.3833 0.1405 -7.8988 3.4871 -4.9201 -1.6511" Properties=species:S:1:pos:R:3 pbc="T T T"
Pm -2.0376 -2.9353 0.5107
Pm -1.9625 -3.8638 -4.5184
Nd -4.5073 -3.8638 -1.9477
Nd 0.5072 -2.9353 -2.0600
Nd 0.0000 0.0000 0.0000
Dy -1.5199 -5.8733 -1.5304
Dy -2.4802 -0.9258 -2.4773
Dy -4.9375 -1.8603 -4.9333
Dy 0.9374 -4.9388 0.9256
```



Relative energies, meV/atom: <A> 78; <B> 0.



<A>
## Pm4NdDy7 (PBE-GGA)

Data for an optimized crystal structure of Pm4NdDy7.

## Properties
calculated density = 7.79 g cm⁻³
V = 396.83 Å³/cell

Cell and atoms, written as extended XYZ:
```
12
Lattice="6.7158 1.3569 0.5322 4.4331 7.3356 2.0658 -1.3692 -0.5968 8.9816" Properties=species:S:1:pos:R:3 pbc="T T T"
Pm 6.1654 5.2644 4.1761
Pm 3.6143 2.8312 7.4035
Pm 7.9747 6.7841 8.3361
Pm 1.8050 1.3114 3.2435
Nd 0.0000 0.0000 0.0000
Dy 5.9212 4.2006 9.9819
Dy 3.8585 3.8950 1.5977
Dy 7.1309 3.2880 6.9409
Dy 2.6488 4.8076 4.6387
Dy 4.7269 5.9816 7.3557
Dy 3.3579 0.6784 0.2661
Dy 5.0528 2.1139 4.2239
```



<B>
## Pm4NdDy7 (PBE-GGA)

Data for an optimized crystal structure of Pm4NdDy7.

## Properties
calculated density = 7.60 g cm⁻³
V = 406.72 Å³/cell

Cell and atoms, written as extended XYZ:
```
12
Lattice="5.9336 0.0000 0.0000 2.9668 11.2832 -0.2986 2.9668 0.1979 6.0698" Properties=species:S:1:pos:R:3 pbc="T T T"
Pm 5.9336 2.6215 3.0041
Pm 5.9336 8.8596 2.7671
Pm 8.9004 7.7546 4.6153
Pm 2.9668 3.7265 1.1560
Nd 0.0000 0.0000 0.0000
Dy 8.9004 10.5103 2.7518
Dy 2.9668 0.9708 3.0194
Dy 2.9668 7.7016 0.9474
Dy 8.9004 3.7795 4.8239
Dy 5.9336 5.7722 4.5004
Dy 2.9668 0.0000 0.0000
Dy 5.9336 5.7089 1.2709
```



Relative energies, meV/atom: <A> 0; <B> 171.



<A>
## Pm2Nd5Dy2 (PBE-GGA)

Data for an optimized crystal structure of Pm2Nd5Dy2.

## Properties
calculated density = 7.14 g cm⁻³
V = 621.09 Å³/cell

Cell and atoms, written as extended XYZ:
```
18
Lattice="-11.1827 -4.2561 -0.3517 1.3145 -3.9105 5.5284 2.6646 9.6725 1.9047" Properties=species:S:1:pos:R:3 pbc="T T T"
Pm 0.1185 -0.7795 4.2135
Pm -7.1725 1.8405 3.4968
Pm -6.0507 -0.9225 1.2759
Pm -1.0032 1.9832 6.4347
Nd 1.0800 5.2536 5.2749
Nd -7.7290 -5.3975 4.1388
Nd 0.3481 7.1803 2.5086
Nd -8.3115 -3.4141 1.3772
Nd -3.4312 1.0770 0.5327
Nd -4.0915 1.3783 5.2063
Nd -3.1216 -1.0111 3.2869
Nd -4.4007 3.4653 2.4538
Nd 2.1201 2.2322 4.5902
Nd -9.5644 -0.0102 1.4787
Dy 0.0457 -0.1358 0.1920
Dy -4.8885 -4.2191 2.7803
Dy -1.0948 2.3692 2.7953
Dy -5.8463 -1.6441 5.3898
```



<B>
## Pm2Nd5Dy2 (PBE-GGA)

Data for an optimized crystal structure of Pm2Nd5Dy2.

## Properties
calculated density = 7.20 g cm⁻³
V = 308.04 Å³/cell

Cell and atoms, written as extended XYZ:
```
9
Lattice="0.7767 -2.6484 -5.6855 -4.1407 -1.1171 4.6434 -8.7499 10.0491 4.6870" Properties=species:S:1:pos:R:3 pbc="T T T"
Pm -9.4635 3.8244 3.9689
Pm -2.6505 2.4593 -0.3239
Nd -3.3864 -0.8049 1.0900
Nd -8.7276 7.0885 2.5550
Nd -6.0644 4.6173 2.8845
Nd -6.0496 1.6664 0.7605
Nd 0.0000 0.0000 0.0000
Dy -9.4773 6.7732 6.1126
Dy -2.6366 -0.4896 -2.4677
```



Relative energies, meV/atom: <A> 189; <B> 0.



<A>
## Pm3NdDy6 (PBE-GGA)

Data for an optimized crystal structure of Pm3NdDy6.

## Properties
calculated density = 7.77 g cm⁻³
V = 332.37 Å³/cell

Cell and atoms, written as extended XYZ:
```
10
Lattice="8.7766 0.0000 4.6575 3.1525 8.1909 4.6575 2.2417 1.5392 6.3739" Properties=species:S:1:pos:R:3 pbc="T T T"
Pm 6.5660 4.5084 8.8232
Pm 7.8623 5.3985 6.3803
Pm 3.0283 2.0793 4.8916
Nd 11.4097 7.8343 10.2936
Dy 10.3768 5.1534 8.7733
Dy 5.5026 7.8332 7.1631
Dy 6.4155 2.3217 5.6394
Dy 3.6978 4.5073 7.3053
Dy 8.4010 1.8320 8.8264
Dy 7.5939 7.1823 10.3476
```



<B>
## Pm3NdDy6 (PBE-GGA)

Data for an optimized crystal structure of Pm3NdDy6.

## Properties
calculated density = 7.78 g cm⁻³
V = 663.43 Å³/cell

Cell and atoms, written as extended XYZ:
```
20
Lattice="-4.6359 4.0030 1.5559 -6.3198 -8.4806 2.9887 6.5859 4.7479 7.4079" Properties=species:S:1:pos:R:3 pbc="T T T"
Pm -3.3717 -2.7154 8.7954
Pm -2.7898 2.2585 10.5663
Pm 1.2422 -0.1142 5.7990
Pm -3.9457 -1.0544 5.5942
Pm -2.9626 4.6820 3.8164
Pm -3.5445 -0.2919 2.0455
Nd 3.4106 2.6592 6.7392
Nd -6.6974 -3.3241 4.8497
Dy -0.6103 -2.9194 6.7875
Dy -1.7487 0.2912 7.9693
Dy 1.1820 1.4930 9.2260
Dy -6.5527 -2.0577 8.1492
Dy -7.5653 -6.4058 3.7655
Dy 0.0308 3.6860 7.1944
Dy -3.4380 -4.2469 4.4350
Dy 1.9642 7.7394 8.6002
Dy 1.0529 3.3038 4.1826
Dy -6.6818 -0.2469 3.1057
Dy -0.6986 -1.6809 3.3379
Dy -1.8370 1.5297 4.5198
```



Relative energies, meV/atom: <A> 134; <B> 0.